Material: TaBe2Re2
Method: DFT, GGA-PBE
State: optimized geometry

energy of formation	-145	kJ/mol of formula units
V	62.48	Å³/f.u.
space-group type	No. 127

Cell: 6.298 6.298 3.150 Å, 90.00 90.00 90.00°
Element x y z (fractional)
Re: 0.326 0.174 0.500
Be: 0.883 0.617 0.000
Re: 0.826 0.326 0.500
Ta: 0.000 0.000 0.000
Be: 0.117 0.383 0.000
Be: 0.617 0.117 0.000
Be: 0.383 0.883 0.000
Re: 0.674 0.826 0.500
Re: 0.174 0.674 0.500
Ta: 0.500 0.500 0.000